Compound: Cr2InTe
Source: Alexandria via LeMat-Bulk
Functional: PBE
Structure: relaxed

The polymorph energy (0 for the lowest one) comes out at 0.176 eV per atom. Its raw formation energy is 0.446 eV per atom. The density is 6.9 g cm⁻³. For the calculated volume, the calculation gives 83.1 Å³/cell.

It has space group P4/mmm (No. 123), with a = 4.7831 Å, b = 4.7831 Å, c = 3.6344 Å, α = 90.00°, β = 90.00° and γ = 90.00°. The inequivalent atoms are Cr at (0.0000, 0.5000, 0.0000), In at (0.0000, 0.0000, 0.5000) and Te at (0.5000, 0.5000, 0.5000).